Record 1
# PbSeS (PBE, relaxed)
# DOS(E_F): 2.807 states/eV/cell
# Formation energy from raw total energies: -0.2448 eV/atom
# Offset from the most stable computed form: 0.000 eV/atom
data_PbSeS
_cell_length_a 6.156
_cell_length_b 6.214
_cell_length_c 8.945
_cell_angle_alpha 90.00
_cell_angle_beta 90.87
_cell_angle_gamma 90.00
_symmetry_space_group_name_H-M 'C 1 2/m 1'
_symmetry_Int_Tables_number 12
loop_
_symmetry_equiv_pos_as_xyz
'x,y,z'
'-x,-y,-z'
'-x,y,-z'
'x,-y,z'
'x+1/2,y+1/2,z'
'-x+1/2,-y+1/2,-z'
'-x+1/2,y+1/2,-z'
'x+1/2,-y+1/2,z'
loop_
_atom_site_label
_atom_site_fract_x
_atom_site_fract_y
_atom_site_fract_z
Pb1 0.245 0.000 0.327
Se1 0.242 0.000 0.653
S1 0.158 0.000 0.994



Record 2
# PbSeS2 (PBE, relaxed)
# DOS(E_F): 2.835 states/eV/cell
# Formation energy from raw total energies: -0.1559 eV/atom
# Offset from the most stable computed form: 0.000 eV/atom
data_PbSeS2
_cell_length_a 4.258
_cell_length_b 4.436
_cell_length_c 12.907
_cell_angle_alpha 80.57
_cell_angle_beta 85.77
_cell_angle_gamma 89.90
_symmetry_space_group_name_H-M 'P -1'
_symmetry_Int_Tables_number 2
loop_
_symmetry_equiv_pos_as_xyz
'x,y,z'
'-x,-y,-z'
loop_
_atom_site_label
_atom_site_fract_x
_atom_site_fract_y
_atom_site_fract_z
Pb1 0.225 0.196 0.112
Se1 0.274 0.304 0.885
S1 0.150 0.115 0.601
S2 0.184 0.177 0.392



Record 3
# PbSeS2 (PBE, relaxed)
# DOS(E_F): 4.075 states/eV/cell
# Formation energy from raw total energies: 0.1116 eV/atom
# Offset from the most stable computed form: 0.267 eV/atom
data_PbSeS2
_cell_length_a 5.461
_cell_length_b 5.461
_cell_length_c 15.363
_cell_angle_alpha 90.00
_cell_angle_beta 90.00
_cell_angle_gamma 90.00
_symmetry_space_group_name_H-M 'I -4 2 d'
_symmetry_Int_Tables_number 122
_symmetry_space_group_name_Hall 'I -4 2bw'
loop_
_atom_site_label
_atom_site_fract_x
_atom_site_fract_y
_atom_site_fract_z
Pb1 0.000 0.000 0.000
Se1 0.000 0.000 0.500
S1 0.187 0.250 0.625



Record 4
# Pb2Se2S (PBE, relaxed)
# DOS(E_F): 3.658 states/eV/cell
# Formation energy from raw total energies: -0.1312 eV/atom
data_Pb2Se2S
_cell_length_a 8.103
_cell_length_b 8.103
_cell_length_c 4.429
_cell_angle_alpha 90.00
_cell_angle_beta 90.00
_cell_angle_gamma 90.00
_symmetry_space_group_name_H-M 'P 4/m b m'
_symmetry_Int_Tables_number 127
_symmetry_space_group_name_Hall '-P 4 2ab'
loop_
_atom_site_label
_atom_site_fract_x
_atom_site_fract_y
_atom_site_fract_z
Pb1 0.219 0.281 0.000
Se1 0.109 0.609 0.500
S1 0.000 0.000 0.000



Record 5
# PbSeS2 (PBE, relaxed)
# DOS(E_F): 0.050 states/eV/cell
# Formation energy from raw total energies: -0.1544 eV/atom
# Offset from the most stable computed form: 0.002 eV/atom
data_PbSeS2
_cell_length_a 8.238
_cell_length_b 7.581
_cell_length_c 8.197
_cell_angle_alpha 90.00
_cell_angle_beta 119.39
_cell_angle_gamma 90.00
_symmetry_space_group_name_H-M 'P 1 21/c 1'
_symmetry_Int_Tables_number 14
loop_
_symmetry_equiv_pos_as_xyz
'x,y,z'
'-x,-y,-z'
'-x,y+1/2,-z+1/2'
'x,-y+1/2,z+1/2'
loop_
_atom_site_label
_atom_site_fract_x
_atom_site_fract_y
_atom_site_fract_z
Pb1 0.241 0.098 0.462
Se1 0.263 0.597 0.568
S1 0.009 0.732 0.902
S2 0.499 0.210 0.320



Record 6
# PbSeS (PBE, relaxed)
# Formation energy from raw total energies: -0.1893 eV/atom
# Offset from the most stable computed form: 0.055 eV/atom
data_PbSeS
_cell_length_a 12.299
_cell_length_b 4.109
_cell_length_c 8.243
_cell_angle_alpha 90.00
_cell_angle_beta 122.09
_cell_angle_gamma 90.00
_symmetry_space_group_name_H-M 'C 1 2/m 1'
_symmetry_Int_Tables_number 12
loop_
_symmetry_equiv_pos_as_xyz
'x,y,z'
'-x,-y,-z'
'-x,y,-z'
'x,-y,z'
'x+1/2,y+1/2,z'
'-x+1/2,-y+1/2,-z'
'-x+1/2,y+1/2,-z'
'x+1/2,-y+1/2,z'
loop_
_atom_site_label
_atom_site_fract_x
_atom_site_fract_y
_atom_site_fract_z
Pb1 0.000 0.000 0.000
Pb2 0.000 0.000 0.500
Se1 0.124 0.500 0.363
S1 0.096 0.500 0.841



Record 7
# Pb2SeS8 (PBE, relaxed)
# DOS(E_F): 5.597 states/eV/cell
# Formation energy from raw total energies: -0.0251 eV/atom
data_Pb2SeS8
_cell_length_a 5.849
_cell_length_b 6.619
_cell_length_c 8.868
_cell_angle_alpha 107.99
_cell_angle_beta 102.41
_cell_angle_gamma 102.01
_symmetry_space_group_name_H-M 'P -1'
_symmetry_Int_Tables_number 2
loop_
_symmetry_equiv_pos_as_xyz
'x,y,z'
'-x,-y,-z'
loop_
_atom_site_label
_atom_site_fract_x
_atom_site_fract_y
_atom_site_fract_z
Pb1 0.142 0.293 0.201
Se1 0.500 0.000 0.500
S1 0.039 0.186 0.854
S2 0.237 0.676 0.543
S3 0.297 0.760 0.201
S4 0.354 0.697 0.779



Record 8
# PbSe2S (PBE, relaxed)
# DOS(E_F): 2.439 states/eV/cell
# Formation energy from raw total energies: 0.0998 eV/atom
# Offset from the most stable computed form: 0.000 eV/atom
data_PbSe2S
_cell_length_a 5.676
_cell_length_b 5.676
_cell_length_c 15.262
_cell_angle_alpha 90.00
_cell_angle_beta 90.00
_cell_angle_gamma 90.00
_symmetry_space_group_name_H-M 'I -4 2 d'
_symmetry_Int_Tables_number 122
_symmetry_space_group_name_Hall 'I -4 2bw'
loop_
_atom_site_label
_atom_site_fract_x
_atom_site_fract_y
_atom_site_fract_z
Pb1 0.000 0.000 0.000
Se1 0.165 0.250 0.625
S1 0.000 0.000 0.500



Record 9
# Pb2SeS (PBE, relaxed)
# DOS(E_F): 0.000 states/eV/cell
# Formation energy from raw total energies: -0.4652 eV/atom
# Offset from the most stable computed form: 0.084 eV/atom
data_Pb2SeS
_cell_length_a 5.1211
_cell_length_b 5.1211
_cell_length_c 6.1558
_cell_angle_alpha 90.00
_cell_angle_beta 90.00
_cell_angle_gamma 120.00
_symmetry_space_group_name_H-M 'P 3 m 1'
_symmetry_Int_Tables_number 156
loop_
_symmetry_equiv_pos_as_xyz
'x,y,z'
'-y,x-y,z'
'-x+y,-x,z'
'-y,-x,z'
'-x+y,y,z'
'x,x-y,z'
loop_
_atom_site_label
_atom_site_fract_x
_atom_site_fract_y
_atom_site_fract_z
Pb1 0.0000 0.0000 0.0000
Pb2 0.3333 0.6667 0.4841
Se1 0.0000 0.0000 0.5095
S1 0.3333 0.6667 0.0160



Record 10
# PbSe2S (PBE, relaxed)
# DOS(E_F): 18.289 states/eV/cell
# Formation energy from raw total energies: 0.3939 eV/atom
# Offset from the most stable computed form: 0.294 eV/atom
data_PbSe2S
_cell_length_a 7.132
_cell_length_b 7.132
_cell_length_c 7.132
_cell_angle_alpha 90.00
_cell_angle_beta 90.00
_cell_angle_gamma 90.00
_symmetry_space_group_name_H-M 'F m -3 m'
_symmetry_Int_Tables_number 225
_symmetry_space_group_name_Hall '-F 4 2 3'
loop_
_atom_site_label
_atom_site_fract_x
_atom_site_fract_y
_atom_site_fract_z
Pb1 0.000 0.000 0.000
Se1 0.250 0.250 0.250
S1 0.000 0.000 0.500



Record 11
# Pb2SeS (PBE, relaxed)
# DOS(E_F): 0.000 states/eV/cell
# Formation energy from raw total energies: -0.3705 eV/atom
# Offset from the most stable computed form: 0.179 eV/atom
data_Pb2SeS
_cell_length_a 6.775
_cell_length_b 6.775
_cell_length_c 13.456
_cell_angle_alpha 90.00
_cell_angle_beta 90.00
_cell_angle_gamma 90.00
_symmetry_space_group_name_H-M 'I -4 2 d'
_symmetry_Int_Tables_number 122
_symmetry_space_group_name_Hall 'I -4 2bw'
loop_
_atom_site_label
_atom_site_fract_x
_atom_site_fract_y
_atom_site_fract_z
Pb1 0.236 0.250 0.125
Se1 0.000 0.000 0.500
S1 0.000 0.000 0.000



Record 12
# Pb5Se4S (PBE, relaxed)
# Formation energy from raw total energies: -0.5553 eV/atom
data_Pb5Se4S
_cell_length_a 4.363
_cell_length_b 4.363
_cell_length_c 30.841
_cell_angle_alpha 90.00
_cell_angle_beta 90.00
_cell_angle_gamma 90.00
_symmetry_space_group_name_H-M 'I 4/m m m'
_symmetry_Int_Tables_number 139
_symmetry_space_group_name_Hall '-I 4 2'
loop_
_atom_site_label
_atom_site_fract_x
_atom_site_fract_y
_atom_site_fract_z
Pb1 0.000 0.000 0.000
Pb2 0.000 0.000 0.200
Pb3 0.000 0.000 0.403
Se1 0.000 0.000 0.099
Se2 0.000 0.000 0.301
S1 0.000 0.000 0.500